No. 1
VASP calculation (PBE with a Hubbard U) on a relaxed structure of Co2RhCO.

Geometry as POSCAR:
```
Co2RhCO
1.0
3.528 0.000 0.000
0.000 4.670 0.000
0.000 0.000 3.528
Co C Rh O
2 1 1 1
direct
0.000 0.000 0.500
0.500 0.000 0.000
0.000 0.500 0.000
0.500 0.500 0.500
0.000 0.000 0.000
```

Computed properties:
Magnetization (μB/f.u.): 4.02
Final energy (eV per atom): -5.27



No. 2
VASP calculation (PBE with a Hubbard U) on a relaxed structure of SrCo2CO.

Geometry as POSCAR:
```
SrCo2CO
1.0
-1.345 -1.494 -3.231
-3.809 -3.522 3.213
-2.651 2.725 -0.156
Sr C Co O
1 1 2 1
direct
0.500 0.500 0.500
0.000 0.500 0.000
0.000 0.000 0.500
0.500 0.000 0.000
0.000 0.000 0.000
```

Computed properties:
Magnetization (μB/f.u.): 6.00
Final energy (eV per atom): -4.56



No. 3
VASP calculation (PBE with a Hubbard U) on a relaxed structure of Sr2CoC2O2.

Geometry as POSCAR:
```
Sr2CoC2O2
1.0
3.990 0.000 0.000
0.000 3.990 0.000
0.000 0.000 6.990
Sr Co C O
2 1 2 2
direct
0.500 0.500 0.733
0.500 0.500 0.267
0.000 0.000 0.500
0.000 0.000 0.909
0.000 0.000 0.091
0.000 0.500 0.500
0.500 0.000 0.500
```

Computed properties:
Magnetization (μB/f.u.): 2.99
Final energy (eV per atom): -6.27



No. 4
VASP calculation (PBE with a Hubbard U) on a relaxed structure of CoTcCO2.

Geometry as POSCAR:
```
CoTcCO2
1.0
3.739 0.000 0.000
0.000 3.972 0.000
0.000 0.000 3.739
C Co Tc O
1 1 1 2
direct
0.000 0.000 0.000
0.500 0.500 0.500
0.000 0.500 0.000
0.000 0.000 0.500
0.500 0.000 0.000
```

Computed properties:
Magnetization (μB/f.u.): 4.11
Final energy (eV per atom): -5.59



No. 5
VASP calculation (PBE with a Hubbard U) on a relaxed structure of Th6Co2C3O.

Geometry as POSCAR:
```
Th6Co2C3O
1.0
3.728 0.000 0.000
0.000 7.720 0.137
-1.864 -2.372 8.073
Th Co C O
6 2 3 1
direct
0.331 0.921 0.663
0.659 0.597 0.317
0.669 0.079 0.337
0.000 0.254 0.001
0.000 0.746 0.999
0.341 0.403 0.683
0.829 0.663 0.658
0.171 0.337 0.342
0.500 0.500 0.000
0.846 0.159 0.692
0.154 0.841 0.308
0.500 0.000 0.000
```

Computed properties:
Magnetization (μB/f.u.): 0.00
Final energy (eV per atom): -7.77



No. 6
VASP calculation (PBE with a Hubbard U) on a relaxed structure of Tl2CoC2O6.

Geometry as POSCAR:
```
Tl2CoC2O6
1.0
-4.421 -1.707 -2.019
0.079 -3.259 -3.989
-1.374 -7.336 2.640
Tl Co C O
2 1 2 6
direct
0.779 0.779 0.664
0.221 0.221 0.336
0.000 0.000 0.000
0.389 0.389 0.832
0.611 0.611 0.168
0.754 0.754 0.174
0.318 0.754 0.174
0.754 0.318 0.174
0.246 0.682 0.826
0.682 0.246 0.826
0.246 0.246 0.826
```

Computed properties:
Magnetization (μB/f.u.): 3.00
Final energy (eV per atom): -6.40



No. 7
VASP calculation (PBE with a Hubbard U) on a relaxed structure of TlCoC2O6.

Geometry as POSCAR:
```
TlCoC2O6
1.0
-0.181 -0.682 4.643
-1.659 -4.045 1.716
5.430 -4.112 1.983
Tl Co C O
1 1 2 6
direct
0.000 0.000 0.000
0.500 0.500 0.500
0.780 0.780 0.661
0.220 0.220 0.339
0.071 0.523 0.669
0.737 0.071 0.669
0.477 0.263 0.331
0.929 0.477 0.331
0.263 0.929 0.331
0.523 0.737 0.669
```

Computed properties:
Magnetization (μB/f.u.): 0.00
Final energy (eV per atom): -6.71



No. 8
VASP calculation (PBE with a Hubbard U) on a relaxed structure of Y2CoCO.

Geometry as POSCAR:
```
Y2CoCO
1.0
4.818 0.000 0.000
0.000 3.841 0.000
0.000 0.000 4.818
Y C Co O
2 1 1 1
direct
0.000 0.000 0.500
0.500 0.000 0.000
0.000 0.000 0.000
0.500 0.500 0.500
0.000 0.500 0.000
```

Computed properties:
Magnetization (μB/f.u.): 1.44
Final energy (eV per atom): -6.14